Record 1
A relaxed structure of Ag3Pb. Source: Alexandria, functional PBE.

Unit cell a=6.260 b=6.260 c=4.875 alpha=90.00 beta=90.00 gamma=120.00
Positions (direct):
Ag 0.317 0.159 0.250
Ag 0.683 0.841 0.750
Ag 0.159 0.317 0.750
Ag 0.841 0.683 0.250
Ag 0.841 0.159 0.250
Ag 0.159 0.841 0.750
Pb 0.667 0.333 0.750
Pb 0.333 0.667 0.250

The calculation puts the total DFT energy (no corrections) at -3.00 eV per atom. The value obtained for the energy of formation from the pure elements is 0.070 eV per atom. Its space group is P6_3/mmc. As for the size of the total moment: 0.0 μB per formula unit.



Record 2
A relaxed structure of Dy5YIn6. Source: Alexandria, functional PBE.

Unit cell a=5.323 b=7.494 c=8.421 alpha=90.00 beta=71.58 gamma=90.00
Positions (direct):
Y 0.000 0.000 0.000
In 0.833 0.250 0.333
In 0.833 0.750 0.333
In 0.500 0.250 0.000
In 0.167 0.750 0.667
In 0.500 0.750 0.000
In 0.167 0.250 0.667
Dy 0.667 0.000 0.666
Dy 0.667 0.500 0.667
Dy 0.333 0.500 0.333
Dy 0.333 0.000 0.334
Dy 0.000 0.500 0.000

The calculation puts the total DFT energy (no corrections) at -4.30 eV per atom. The value obtained for the energy of formation from the pure elements is -0.473 eV per atom. Its space group is Cmmm. As for the size of the total moment: 0.0 μB per formula unit.



Record 3
A relaxed structure of La4Pm6Tm. Source: Alexandria, functional PBE.

Unit cell a=6.762 b=6.762 c=9.757 alpha=110.27 beta=110.27 gamma=90.00
Positions (direct):
Pm 0.494 0.862 0.356
Pm 0.500 0.000 0.000
Pm 0.138 0.138 0.644
Pm 0.862 0.494 0.356
Pm 0.506 0.506 0.644
Pm 0.000 0.500 0.000
La 0.712 0.038 0.750
La 0.288 0.288 0.250
La 0.962 0.962 0.250
La 0.038 0.712 0.750
Tm 0.500 0.500 0.000

The calculation puts the total DFT energy (no corrections) at -4.54 eV per atom. The value obtained for the energy of formation from the pure elements is 0.249 eV per atom. Its space group is I-42m. For the energy above the most stable polymorph in this dataset, the calculation gives 0 meV per atom. As for the size of the total moment: 0.0 μB per formula unit.



Record 4
A relaxed structure of NaIn2F7. Source: Alexandria, functional PBE.

Unit cell a=3.861 b=3.861 c=10.591 alpha=79.50 beta=79.50 gamma=60.00
Positions (direct):
F 0.134 0.134 0.598
F 0.000 0.000 0.000
F 0.282 0.282 0.155
F 0.582 0.582 0.254
F 0.718 0.718 0.845
F 0.418 0.418 0.746
F 0.866 0.866 0.402
Na 0.500 0.500 0.500
In 0.067 0.067 0.798
In 0.933 0.933 0.202

The calculation puts the total DFT energy (no corrections) at -4.51 eV per atom. Its space group is R-3m. For the energy above the most stable polymorph in this dataset, the calculation gives 8 meV per atom. As for the size of the total moment: 0.0 μB per formula unit. The value obtained for the raw formation energy is -243.5 kJ/mol of atoms.



Record 5
A relaxed structure of HfMnN3. Source: Alexandria, functional PBE.

Unit cell a=3.664 b=3.664 c=3.664 alpha=90.00 beta=90.00 gamma=90.00
Site moments in Bohr magnetons follow the coordinates.
Positions (direct):
Mn 0.000 0.000 0.000  1.81
N 0.000 0.500 0.000  0.01
N 0.000 0.000 0.500  -0.01
N 0.500 0.000 0.000  -0.05
Hf 0.500 0.500 0.500  0.17

The calculation puts the total DFT energy (no corrections) at -8.85 eV per atom. Its space group is Pm-3m. As for the size of the total moment: 2.1 μB per formula unit. The value obtained for the raw formation energy is -3.3 kJ/mol of atoms.



Record 6
A relaxed structure of Cs2TlBi2Pb. Source: Alexandria, functional PBE.

Unit cell a=8.042 b=8.029 c=10.331 alpha=112.87 beta=112.91 gamma=90.00
Positions (direct):
Bi 0.349 0.594 0.188
Bi 0.161 0.906 0.812
Bi 0.651 0.406 0.812
Bi 0.839 0.094 0.188
Cs 0.074 0.334 0.668
Cs 0.406 0.166 0.332
Cs 0.926 0.666 0.332
Cs 0.594 0.834 0.668
Tl 0.000 0.250 0.000
Tl 0.000 0.750 0.000
Pb 0.500 0.750 0.000
Pb 0.500 0.250 0.000

The calculation puts the total DFT energy (no corrections) at -2.88 eV per atom. The value obtained for the energy of formation from the pure elements is -0.290 eV per atom. Its space group is Ibam. As for the size of the total moment: 0.0 μB per formula unit.



Record 7
A relaxed structure of MgZn3Cu3. Source: Alexandria, functional PBE.

Unit cell a=7.205 b=7.205 c=4.334 alpha=90.00 beta=90.00 gamma=120.00
Positions (direct):
Mg 0.667 0.333 0.750
Mg 0.333 0.667 0.250
Zn 0.787 0.764 0.750
Zn 0.977 0.213 0.750
Zn 0.213 0.236 0.250
Zn 0.764 0.977 0.250
Zn 0.023 0.787 0.250
Zn 0.236 0.023 0.750
Cu 0.619 0.530 0.250
Cu 0.381 0.470 0.750
Cu 0.530 0.911 0.750
Cu 0.089 0.619 0.750
Cu 0.470 0.089 0.250
Cu 0.911 0.381 0.250

The calculation puts the total DFT energy (no corrections) at -2.62 eV per atom. The value obtained for the energy of formation from the pure elements is -0.094 eV per atom. Its space group is P6_3/m. For the energy above the most stable polymorph in this dataset, the calculation gives 0 meV per atom. As for the size of the total moment: 0.0 μB per formula unit.